1.
Here is a relaxed structure of Ga2CoSnPb from Alexandria via LeMat-Bulk. Energies are from GGA-PBE.

Cell: 4.668 4.668 5.043 Å, 90.00 90.00 90.00°
Space group P4/mmm (No. 123)
Unique sites:
1 Ga 0.000 0.500 0.000 x2
2 Co 0.000 0.000 0.000 x1
3 Sn 0.000 0.000 0.500 x1
4 Pb 0.500 0.500 0.500 x1

Energy (eV/cell): -20.7
Energy of formation from the pure elements (eV/atom): 0.038
Magnetization (μB per cell): 0.0

---

2.
Here is a relaxed structure of Ba2Li2PaSe6 from Alexandria via LeMat-Bulk. Energies are from GGA-PBE.

Cell: 7.8067 7.8067 19.6638 Å, 90.00 90.00 120.00°
Space group R-3m (No. 166, hexagonal axes)
Unique sites:
1 Ba 0.0000 0.0000 0.2195 x6
2 Li 0.0000 0.0000 0.4286 x6
3 Pa 0.0000 0.0000 0.0000 x3
4 Se 0.0170 0.5085 0.7548 x18

Energy relative to the elements, uncorrected (eV/atom): -1.35
Energy (eV/cell): -158.9
Magnetization (μB per cell): 0.0

---

3.
Here is a relaxed structure of CdCo2Ru from Alexandria via LeMat-Bulk. Energies are from GGA-PBE.

Cell: 8.691 2.744 4.916 Å, 90.00 100.34 90.00°
Space group C2/m (No. 12)
Unique sites:
1 Cd 0.000 0.000 0.000 x2
2 Co 0.240 0.000 0.701 x4
3 Ru 0.000 0.500 0.500 x2

Energy (eV/cell): -45.8
Energy of formation from the pure elements (eV/atom): 0.378
Magnetization (μB per cell): 7.8

---

4.
Here is a relaxed structure of Ca2TeBr from Alexandria via LeMat-Bulk. Energies are from GGA-PBE.

Cell: 4.047 4.282 14.393 Å, 90.00 90.00 90.00°
Space group Imm2 (No. 44)
Unique sites:
1 Ca 0.000 0.000 0.000 x2
2 Ca 0.000 0.500 0.256 x2
3 Te 0.000 0.500 0.666 x2
4 Br 0.000 0.000 0.422 x2

Energy above the lowest structure with this stoichiometry (eV/atom): 0.085
Energy relative to the elements, uncorrected (eV/atom): -1.36
Energy (eV/cell): -28.5
Magnetization (μB per cell): 2.0

---

5.
Here is a relaxed structure of CaMg4Tl from Alexandria via LeMat-Bulk. Energies are from GGA-PBE.

Cell: 8.621 8.621 8.621 Å, 90.00 90.00 90.00°
Space group F-43m (No. 216)
Unique sites:
1 Ca 0.000 0.000 0.000 x4
2 Mg 0.125 0.125 0.625 x16
3 Tl 0.250 0.250 0.250 x4

Energy above the lowest structure with this stoichiometry (eV/atom): 0.016
Energy (eV/cell): -44.3
Energy of formation from the pure elements (eV/atom): -0.054
Magnetization (μB per cell): 0.0

---

6.
Here is a relaxed structure of LiMo3Pt from Alexandria via LeMat-Bulk. Energies are from GGA-PBE.

Cell: 4.829 4.829 4.829 Å, 90.00 90.00 90.00°
Space group Pm-3m (No. 221)
Unique sites:
1 Li 0.000 0.000 0.000 x1
2 Mo 0.000 0.500 0.500 x3
3 Pt 0.500 0.500 0.500 x1

Energy above the lowest structure with this stoichiometry (eV/atom): 0.724
Energy (eV/cell): -31.9
Energy of formation from the pure elements (eV/atom): 1.712
Magnetization (μB per cell): 0.1

---

7.
Here is a relaxed structure of NaInAg2 from Alexandria via LeMat-Bulk. Energies are from GGA-PBE.

Cell: 4.2194 4.2194 20.3741 Å, 90.00 90.00 120.00°
Space group R3m (No. 160, hexagonal axes)
Unique sites:
1 Na 0.0000 0.0000 0.0000 x3
2 In 0.0000 0.0000 0.8285 x3
3 Ag 0.0000 0.0000 0.4243 x3
4 Ag 0.0000 0.0000 0.5696 x3

Energy (eV/cell): -27.4
Energy of formation from the pure elements (eV/atom): 0.154
Magnetization (μB per cell): 0.0

---

8.
Here is a relaxed structure of Sc4CuAs from Alexandria via LeMat-Bulk. Energies are from GGA-PBE.

Cell: 8.031 8.031 8.031 Å, 90.00 90.00 90.00°
Space group F-43m (No. 216)
Unique sites:
1 Sc 0.125 0.125 0.125 x16
2 Cu 0.000 0.000 0.500 x4
3 As 0.250 0.250 0.750 x4

Energy (eV/cell): -128.3
Energy of formation from the pure elements (eV/atom): 0.333
Magnetization (μB per cell): 0.0

---

> Which value of energy does entry 6 give?

-31.9 eV/cell

---

> Which of these has the highest magnetization?

CdCo2Ru

---

> Number 4 is which compound?

Ca2TeBr